A relaxed structure of PaCo3Cu4O12. Source: Alexandria via LeMat-Bulk, functional PBE+U.

Cell lengths 6.3907, 6.3907, 6.3907 Å; angles 109.47, 109.47, 109.47 degrees
Fractional coordinates of all 20 atoms:
1 Pa 0.0000 0.0000 0.0000
2 Co 0.0000 0.5000 0.5000
3 Co 0.5000 0.0000 0.5000
4 Co 0.5000 0.5000 0.0000
5 Cu 0.0000 0.0000 0.5000
6 Cu 0.0000 0.5000 0.0000
7 Cu 0.5000 0.0000 0.0000
8 Cu 0.5000 0.5000 0.5000
9 O 0.1314 0.8321 0.2993
10 O 0.1679 0.2993 0.4671
11 O 0.1679 0.7007 0.8686
12 O 0.2993 0.1314 0.8321
13 O 0.2993 0.4671 0.1679
14 O 0.4671 0.1679 0.2993
15 O 0.5329 0.8321 0.7007
16 O 0.7007 0.5329 0.8321
17 O 0.7007 0.8686 0.1679
18 O 0.8321 0.2993 0.1314
19 O 0.8321 0.7007 0.5329
20 O 0.8686 0.1679 0.7007

## Properties
V = 10.05 Å³/atom
E_tot = -6.12 eV per atom
Total magnetization = 7.25 μB/f.u.